The following is a DFT calculation (PBE+U) of crystalline CoCuOF2 at its relaxed geometry.

total magnetic moment = 4.0 μB/f.u.
excess energy over the best structure of this formula in the dataset = 0.000 eV per atom
D(E_F) = 0.6 states/eV/f.u.

a b c (Å): 4.019 4.019 3.673
angles (deg): 90.00 90.00 90.00
Element x y z (fractional)
Co 0.000 0.000 0.000
O 0.000 0.000 0.500
Cu 0.500 0.500 0.500
F 0.000 0.500 0.000
F 0.500 0.000 0.000